1.
Compound: Zr2TiNi6
Source: Alexandria via LeMat-Bulk
Functional: PBE
Structure: optimized geometry

Cell: 5.4612 5.1630 5.1630 Å, 59.97 89.95 89.95°
Closest atoms and distances in Å follow each position.
Atoms (fractional coordinates):
Zr  0.8444  0.6668  0.6668  9 Ni 2.75-2.99
Zr  0.1556  0.3332  0.3332  9 Ni 2.75-2.99
Ti  0.0000  0.0000  0.0000  6 Ni 2.38
Ni  0.3278  0.3512  0.8242  1 Ti 2.38, 4 Ni 2.44-2.45
Ni  0.3281  0.8242  0.8242  1 Ti 2.38, 4 Ni 2.44-2.45
Ni  0.3278  0.8242  0.3512  1 Ti 2.38, 4 Ni 2.44-2.45
Ni  0.6722  0.6488  0.1758  1 Ti 2.38, 4 Ni 2.44-2.45
Ni  0.6719  0.1758  0.1758  1 Ti 2.38, 4 Ni 2.44-2.45
Ni  0.6722  0.1758  0.6488  1 Ti 2.38, 4 Ni 2.44-2.45

Computed properties:
For the total magnetization, the calculation gives 0.000 μB per formula unit. As for the density of states at the Fermi level: 5.856 states/eV/f.u. The space-group type is P-3m1 (164).


2.
Compound: ZrTi2Ni
Source: Alexandria via LeMat-Bulk
Functional: PBE
Structure: optimized geometry

Cell: 3.0785 3.0785 7.0748 Å, 90.00 90.00 90.00°
Closest atoms and distances in Å follow each position.
Atoms (fractional coordinates):
Ni  0.5000  0.5000  0.0000  8 Ti 2.63
Zr  0.5000  0.5000  0.5000  8 Ti 3.00, 4 Zr 3.08
Ti  0.0000  0.0000  0.7923  4 Ni 2.63, 1 Ti 2.94
Ti  0.0000  0.0000  0.2077  4 Ni 2.63, 1 Ti 2.94

Computed properties:
For the total magnetization, the calculation gives 0.000 μB per formula unit. As for the density of states at the Fermi level: 3.793 states/eV/f.u. As for the energy above the lowest structure with this stoichiometry: 43 meV per atom. The space-group type is P4/mmm (123).


no.,DFT total energy (eV per atom)
1,-7.01
2,-7.70